Material: K8Bi2Sb
Method: DFT, PBE
State: optimized geometry

* space-group type: No. 8
* ΔE_f (raw): -0.351 eV/atom
* crystal system: monoclinic

```
K8Bi2Sb
1.0
5.294 -9.454 0.000
5.294 9.454 0.000
-3.377 0.000 4.941
K Bi Sb
8 2 1
Cartesian
0.000 0.000 0.000
3.904 6.442 2.655
2.752 1.884 1.877
5.713 3.776 0.267
2.752 -1.884 1.877
6.626 0.000 0.937
5.713 -3.776 0.267
3.904 -6.442 2.655
5.599 3.044 3.812
5.599 -3.044 3.812
0.301 0.000 3.827
```

Material: ScCr2Br
Method: DFT, PBE
State: optimized geometry

* space-group type: No. 166
* ΔE_f (raw): 0.432 eV/atom
* excess energy over the best structure of this formula in the dataset: 442.3 meV/atom
* crystal system: trigonal

```
ScCr2Br
1.0
1.645 0.950 8.732
-1.645 0.950 8.732
0.000 -1.899 8.732
Sc Cr Br
1 2 1
Cartesian
0.000 0.000 0.000
0.000 0.000 6.461
0.000 0.000 19.735
0.000 0.000 13.098
```

Material: AcY2Cd
Method: DFT, PBE
State: optimized geometry

* space-group type: No. 225
* excess energy over the best structure of this formula in the dataset: 213.2 meV/atom
* crystal system: cubic

```
AcY2Cd
1.0
0.000 3.987 3.987
3.987 0.000 3.987
3.987 3.987 0.000
Ac Y Cd
1 2 1
Cartesian
0.000 0.000 0.000
1.994 1.994 1.994
5.981 5.981 5.981
3.987 3.987 3.987
```

Material: Cs7I2O2
Method: DFT, PBE
State: optimized geometry

* space-group type: No. 12
* ΔE_f (raw): -1.067 eV/atom
* crystal system: monoclinic

```
Cs7I2O2
1.0
5.566 -8.127 0.000
5.566 8.127 0.000
-1.646 0.000 8.032
Cs I O
7 2 2
Cartesian
0.000 0.000 0.000
1.359 2.250 5.821
1.359 -2.250 5.821
4.108 0.000 1.586
5.379 0.000 6.447
8.128 2.250 2.211
8.128 -2.250 2.211
4.744 3.071 4.016
4.744 -3.071 4.016
1.208 0.000 7.272
8.279 0.000 0.761
```

Material: KPICl2
Method: DFT, PBE
State: optimized geometry

* space-group type: No. 123
* ΔE_f (raw): 0.340 eV/atom
* excess energy over the best structure of this formula in the dataset: 500.6 meV/atom
* crystal system: tetragonal

```
KPICl2
1.0
5.534 0.000 0.000
0.000 5.534 0.000
0.000 0.000 8.389
K P I Cl
1 1 1 2
Cartesian
0.000 0.000 0.000
0.000 0.000 4.194
2.767 2.767 4.194
0.000 2.767 0.000
2.767 0.000 0.000
```

Material: NdTl3
Method: DFT, PBE
State: optimized geometry

* space-group type: No. 123
* crystal system: tetragonal

```
NdTl3
1.0
4.829 0.000 0.000
0.000 4.829 0.000
0.000 0.000 4.845
Nd Tl
1 3
Cartesian
0.000 0.000 0.000
0.000 2.414 2.423
2.414 0.000 2.423
2.414 2.414 0.000
```

Material: V2MoPd2
Method: DFT, PBE
State: optimized geometry

* space-group type: No. 127
* excess energy over the best structure of this formula in the dataset: 0.0 meV/atom
* crystal system: tetragonal

```
V2MoPd2
1.0
7.527 0.000 0.000
0.000 7.527 0.000
0.000 0.000 2.649
V Mo Pd
4 2 4
Cartesian
1.298 2.466 0.000
2.466 6.229 0.000
5.061 1.298 0.000
6.229 5.061 0.000
0.000 0.000 1.325
3.763 3.763 1.325
0.948 4.712 1.325
2.815 0.948 1.325
4.712 6.578 1.325
6.578 2.815 1.325
```

Material: ZnRe2Hg
Method: DFT, PBE
State: optimized geometry

* space-group type: No. 216
* excess energy over the best structure of this formula in the dataset: 431.1 meV/atom
* crystal system: cubic

```
ZnRe2Hg
1.0
0.000 3.183 3.183
3.183 0.000 3.183
3.183 3.183 0.000
Zn Re Hg
1 2 1
Cartesian
0.000 0.000 0.000
3.183 3.183 3.183
4.775 4.775 4.775
1.592 1.592 1.592
```

| no. | energy (eV for the cell shown) |
| --- | --- |
| 1 | -24.52 |
| 2 | -25.52 |
| 3 | -17.65 |
| 4 | -30.73 |
| 5 | -10.05 |
| 6 | -13.14 |
| 7 | -78.18 |
| 8 | -23.72 |